DFT (SCAN) results for a crystal of Li3V2P3O12 relaxed with PBEsol.

Lattice parameters (Å, degrees): 10.076 10.076 10.076 109.47 109.47 109.47
Fractional positions:
Li: 0.125 0.250 0.375
Li: 0.125 0.375 0.750
Li: 0.250 0.375 0.125
Li: 0.250 0.875 0.625
Li: 0.375 0.125 0.250
Li: 0.375 0.750 0.125
Li: 0.625 0.250 0.875
Li: 0.625 0.875 0.750
Li: 0.750 0.125 0.375
Li: 0.750 0.625 0.875
Li: 0.875 0.625 0.250
Li: 0.875 0.750 0.625
V: 0.000 0.000 0.000
V: 0.000 0.000 0.500
V: 0.000 0.500 0.000
V: 0.000 0.500 0.500
V: 0.500 0.000 0.000
V: 0.500 0.000 0.500
V: 0.500 0.500 0.000
V: 0.500 0.500 0.500
P: 0.125 0.750 0.875
P: 0.125 0.875 0.250
P: 0.250 0.125 0.875
P: 0.250 0.625 0.375
P: 0.375 0.250 0.625
P: 0.375 0.625 0.750
P: 0.625 0.375 0.250
P: 0.625 0.750 0.375
P: 0.750 0.375 0.625
P: 0.750 0.875 0.125
P: 0.875 0.125 0.750
P: 0.875 0.250 0.125
O: 0.007 0.206 0.116
O: 0.007 0.301 0.891
O: 0.090 0.706 0.699
O: 0.090 0.884 0.391
O: 0.109 0.616 0.410
O: 0.109 0.993 0.699
O: 0.116 0.007 0.206
O: 0.116 0.609 0.910
O: 0.199 0.206 0.590
O: 0.199 0.493 0.609
O: 0.206 0.116 0.007
O: 0.206 0.590 0.199
O: 0.294 0.301 0.910
O: 0.294 0.493 0.384
O: 0.301 0.891 0.007
O: 0.301 0.910 0.294
O: 0.384 0.294 0.493
O: 0.384 0.590 0.891
O: 0.391 0.090 0.884
O: 0.391 0.801 0.507
O: 0.410 0.109 0.616
O: 0.410 0.801 0.794
O: 0.493 0.384 0.294
O: 0.493 0.609 0.199
O: 0.507 0.391 0.801
O: 0.507 0.616 0.706
O: 0.590 0.199 0.206
O: 0.590 0.891 0.384
O: 0.609 0.199 0.493
O: 0.609 0.910 0.116
O: 0.616 0.410 0.109
O: 0.616 0.706 0.507
O: 0.699 0.090 0.706
O: 0.699 0.109 0.993
O: 0.706 0.507 0.616
O: 0.706 0.699 0.090
O: 0.794 0.410 0.801
O: 0.794 0.884 0.993
O: 0.801 0.507 0.391
O: 0.801 0.794 0.410
O: 0.884 0.391 0.090
O: 0.884 0.993 0.794
O: 0.891 0.007 0.301
O: 0.891 0.384 0.590
O: 0.910 0.116 0.609
O: 0.910 0.294 0.301
O: 0.993 0.699 0.109
O: 0.993 0.794 0.884

Summary:
Formation energy from raw total energies = -2573 meV/atom
Polymorph energy (0 for the lowest one) = 44 meV per atom
Fermi-level density of states = 0.441 states/eV per atom

DFT (SCAN) results for a crystal of V5CoO12 relaxed with PBEsol.

Lattice parameters (Å, degrees): 6.610 6.610 5.675 104.99 104.99 83.82
Fractional positions:
V: 0.000 0.000 0.000
V: 0.284 0.306 0.507
V: 0.473 0.122 0.013
V: 0.694 0.716 0.493
V: 0.878 0.527 0.987
Co: 0.169 0.831 0.500
O: 0.048 0.729 0.100
O: 0.115 0.102 0.373
O: 0.170 0.544 0.512
O: 0.271 0.952 0.900
O: 0.418 0.297 0.816
O: 0.456 0.830 0.488
O: 0.467 0.264 0.316
O: 0.703 0.582 0.184
O: 0.718 0.011 0.019
O: 0.736 0.533 0.684
O: 0.898 0.885 0.627
O: 0.989 0.282 0.981

Summary:
Formation energy from raw total energies = -2409 meV/atom
Fermi-level density of states = 0.139 states/eV per atom

DFT (SCAN) results for a crystal of TiFe3Cl relaxed with PBEsol.

Lattice parameters (Å, degrees): 4.402 4.402 4.402 90.00 90.00 90.00
Fractional positions:
Ti: 0.000 0.000 0.000
Fe: 0.000 0.000 0.500
Fe: 0.000 0.500 0.000
Fe: 0.500 0.000 0.000
Cl: 0.500 0.500 0.500

Summary:
Formation energy from raw total energies = 1365 meV/atom
Fermi-level density of states = 1.020 states/eV per atom